# PmNdEr

An optimized crystal structure of PmNdEr (GGA-PBE, Alexandria via LeMat-Bulk).

The structure belongs to space group P4/nmm (No. 129, origin choice 2); the cell edges are 4.8916, 4.8916 and 8.7467 Å and the angles 90.00°, 90.00° and 90.00°. The distinct sites, in fractional coordinates, are Pm at (0.2500, 0.7500, 0.0000), Nd at (0.2500, 0.2500, 0.3050) and Er at (0.2500, 0.2500, 0.7009).

The final energy is -4.47 eV/atom. The density is 7.24 Mg/m³. For the total magnetic moment, the calculation gives 0.00 μB per cell.